K2DyCl5: optimized geometry, PBE.

Summary:
N(E_F)   0.00 states/eV/f.u.
Density   3.08 Mg/m³
SG   Pnma, No. 62
V   28.2 Å³/atom
Final energy   -4.17 eV/atom
Magnetization   0.0 μB/cell
E_form (uncorrected)   -2.16 eV per atom

a = 12.9505 Å, b = 8.6105 Å, c = 8.0797 Å
α = 90.00°, β = 90.00°, γ = 90.00°
Closest atoms and distances in Å follow each position.
Fractional positions:
K  0.1717  0.0041  0.0548  8 Cl 3.19-3.46
K  0.1717  0.4959  0.0548  8 Cl 3.19-3.46
K  0.3283  0.5041  0.5548  8 Cl 3.19-3.46
K  0.3283  0.9959  0.5548  8 Cl 3.19-3.46
K  0.6717  0.0041  0.4452  8 Cl 3.19-3.46
K  0.6717  0.4959  0.4452  8 Cl 3.19-3.46
K  0.8283  0.5041  0.9452  8 Cl 3.19-3.46
K  0.8283  0.9959  0.9452  8 Cl 3.19-3.46
Dy  0.0046  0.2500  0.5730  7 Cl 2.68-2.78
Dy  0.4954  0.7500  0.0730  7 Cl 2.68-2.78
Dy  0.5046  0.2500  0.9270  7 Cl 2.68-2.78
Dy  0.9954  0.7500  0.4270  7 Cl 2.68-2.78
Cl  0.0119  0.2500  0.9092  1 Dy 2.72
Cl  0.0717  0.5432  0.6615  2 Dy 2.76-2.78
Cl  0.0717  0.9568  0.6615  2 Dy 2.76-2.78
Cl  0.1756  0.2500  0.3850  1 Dy 2.68
Cl  0.1964  0.7500  0.3455  1 Dy 2.69
Cl  0.3036  0.2500  0.8455  1 Dy 2.69
Cl  0.3244  0.7500  0.8850  1 Dy 2.68
Cl  0.4283  0.0432  0.1615  2 Dy 2.76-2.78
Cl  0.4283  0.4568  0.1615  2 Dy 2.76-2.78
Cl  0.4881  0.7500  0.4092  1 Dy 2.72
Cl  0.5119  0.2500  0.5908  1 Dy 2.72
Cl  0.5717  0.5432  0.8385  2 Dy 2.76-2.78
Cl  0.5717  0.9568  0.8385  2 Dy 2.76-2.78
Cl  0.6756  0.2500  0.1150  1 Dy 2.68
Cl  0.6964  0.7500  0.1545  1 Dy 2.69
Cl  0.8036  0.2500  0.6545  1 Dy 2.69
Cl  0.8244  0.7500  0.6150  1 Dy 2.68
Cl  0.9283  0.0432  0.3385  2 Dy 2.76-2.78
Cl  0.9283  0.4568  0.3385  2 Dy 2.76-2.78
Cl  0.9881  0.7500  0.0908  1 Dy 2.72

YNbCoMo2: optimized geometry, PBE.

Summary:
N(E_F)   6.77 states/eV/f.u.
Density   7.17 Mg/m³
SG   P4/mmm, No. 123
V   20.1 Å³/atom
Final energy   -8.08 eV/atom
Magnetization   0.9 μB/cell
Calculated formation energy   0.98 eV per atom

a = 4.5265 Å, b = 4.5265 Å, c = 4.8935 Å
α = 90.00°, β = 90.00°, γ = 90.00°
Closest atoms and distances in Å follow each position.
Fractional positions:
Y  0.0000  0.0000  0.0000  2 Co 2.45
Nb  0.5000  0.5000  0.0000  4 Y 3.20, 8 Mo 3.33
Co  0.0000  0.0000  0.5000  4 Mo 2.26, 2 Y 2.45
Mo  0.0000  0.5000  0.5000  2 Co 2.26
Mo  0.5000  0.0000  0.5000  2 Co 2.26

Pa2ZnIn8: optimized geometry, PBE.

Summary:
N(E_F)   11.73 states/eV/f.u.
Density   8.80 Mg/m³
SG   P4/mmm, No. 123
V   24.8 Å³/atom
Final energy   -3.89 eV/atom
Magnetization   1.4 μB/cell
Calculated formation energy   -0.06 eV per atom

a = 4.7410 Å, b = 4.7410 Å, c = 12.1402 Å
α = 90.00°, β = 90.00°, γ = 90.00°
Closest atoms and distances in Å follow each position.
Fractional positions:
Pa  0.0000  0.0000  0.1865  12 In 3.26-3.35
Pa  0.0000  0.0000  0.8135  12 In 3.26-3.35
Zn  0.0000  0.0000  0.5000  8 In 2.84
In  0.0000  0.5000  0.0000  8 In 3.27-3.35, 4 Pa 3.28
In  0.0000  0.5000  0.3705  2 Zn 2.84, 1 In 3.15
In  0.0000  0.5000  0.6295  2 Zn 2.84, 1 In 3.15
In  0.5000  0.0000  0.0000  8 In 3.27-3.35, 4 Pa 3.28
In  0.5000  0.0000  0.3705  2 Zn 2.84, 1 In 3.15
In  0.5000  0.0000  0.6295  2 Zn 2.84, 1 In 3.15
In  0.5000  0.5000  0.1851  8 In 3.27, 4 Pa 3.35
In  0.5000  0.5000  0.8149  8 In 3.27, 4 Pa 3.35

SrBeBr2: optimized geometry, PBE.

Summary:
Energy above the most stable polymorph in this dataset   198 meV per atom
Density   3.86 Mg/m³
SG   P4mm, No. 99
V   27.5 Å³/atom
Final energy   -2.81 eV/atom
Magnetization   0.0 μB/cell
E_form (uncorrected)   -0.62 eV per atom

a = 4.2311 Å, b = 4.2311 Å, c = 6.1553 Å
α = 90.00°, β = 90.00°, γ = 90.00°
Closest atoms and distances in Å follow each position.
Fractional positions:
Sr  0.0000  0.0000  0.0000  2 Br 2.91-3.24
Be  0.5000  0.5000  0.3700  1 Br 2.40
Br  0.0000  0.0000  0.4731  2 Sr 2.91-3.24, 4 Be 3.06
Br  0.5000  0.5000  0.7606  1 Be 2.40